First-principles (GGA-PBE) data for Cr2InTc2 after structural relaxation, as listed in the Alexandria database.

The space group is P4/mbm (No. 127) and the conventional cell measures 7.2926, 7.2926 and 2.8169 Å, with angles of 90.00, 90.00 and 90.00 degrees. The inequivalent atoms are Cr at (0.1176, 0.3824, 0.0000), In at (0.0000, 0.0000, 0.0000) and Tc at (0.1678, 0.6678, 0.5000).

The value obtained for the electronic total energy is -8.23 eV per atom. For the calculated formation energy, the calculation gives 1.5 eV/f.u. For the volume, the calculation gives 14.98 Å³/atom.